# 1
# CaCu2Re (PBE, optimized geometry)
# DFT formation energy = 611 meV per atom
# DOS(E_F) = 2.82 states/eV/f.u.
# Calculated volume = 267.0 Å³/cell
# Energy relative to the lowest polymorph listed for this composition = 216 meV per atom
data_CaCu2Re
_space_group_name_H-M_alt 'F m -3 m'
_space_group_IT_number 225
_space_group_name_Hall '-F 4 2 3'
_cell_length_a 6.4395
_cell_length_b 6.4395
_cell_length_c 6.4395
_cell_angle_alpha 90.00
_cell_angle_beta 90.00
_cell_angle_gamma 90.00
loop_
_atom_site_label
_atom_site_fract_x
_atom_site_fract_y
_atom_site_fract_z
_atom_site_occupancy
Ca1 0.0000 0.0000 0.0000 1
Cu1 0.2500 0.2500 0.2500 1
Re1 0.0000 0.0000 0.5000 1

=====

# 2
# Ca2CuRe (PBE, optimized geometry)
# DFT formation energy = 507 meV per atom
# DOS(E_F) = 4.45 states/eV/f.u.
# Calculated volume = 93.8 Å³/cell
# Energy relative to the lowest polymorph listed for this composition = 45 meV per atom
data_Ca2CuRe
_space_group_name_H-M_alt 'P 4 m m'
_space_group_IT_number 99
_space_group_name_Hall 'P 4 -2'
_cell_length_a 3.3307
_cell_length_b 3.3307
_cell_length_c 8.4559
_cell_angle_alpha 90.00
_cell_angle_beta 90.00
_cell_angle_gamma 90.00
loop_
_atom_site_label
_atom_site_fract_x
_atom_site_fract_y
_atom_site_fract_z
_atom_site_occupancy
Ca1 0.0000 0.0000 0.0000 1
Ca2 0.5000 0.5000 0.4005 1
Cu1 0.0000 0.0000 0.6362 1
Re1 0.5000 0.5000 0.7556 1

=====

# 3
# Ca2CuRe (PBE, optimized geometry)
# DFT formation energy = 775 meV per atom
# DOS(E_F) = 3.93 states/eV/f.u.
# Calculated volume = 83.3 Å³/cell
# Energy relative to the lowest polymorph listed for this composition = 313 meV per atom
data_Ca2CuRe
_space_group_name_H-M_alt 'P 4/m m m'
_space_group_IT_number 123
_space_group_name_Hall '-P 4 2'
_cell_length_a 4.4171
_cell_length_b 4.4171
_cell_length_c 4.2669
_cell_angle_alpha 90.00
_cell_angle_beta 90.00
_cell_angle_gamma 90.00
loop_
_atom_site_label
_atom_site_fract_x
_atom_site_fract_y
_atom_site_fract_z
_atom_site_occupancy
Ca1 0.0000 0.5000 0.0000 1
Cu1 0.0000 0.0000 0.5000 1
Re1 0.5000 0.5000 0.5000 1

=====

# 4
# Ca2CuRe (PBE, optimized geometry)
# DFT formation energy = 808 meV per atom
# DOS(E_F) = 3.41 states/eV/f.u.
# Calculated volume = 169.3 Å³/cell
# Energy relative to the lowest polymorph listed for this composition = 346 meV per atom
data_Ca2CuRe
_space_group_name_H-M_alt 'C 1 2/m 1'
_space_group_IT_number 12
_space_group_name_Hall '-C 2y'
_cell_length_a 9.3830
_cell_length_b 2.8069
_cell_length_c 6.4538
_cell_angle_alpha 90.00
_cell_angle_beta 95.15
_cell_angle_gamma 90.00
loop_
_atom_site_label
_atom_site_fract_x
_atom_site_fract_y
_atom_site_fract_z
_atom_site_occupancy
Ca1 0.2475 0.0000 0.2427 1
Cu1 0.0000 0.0000 0.5000 1
Re1 0.0000 0.5000 0.0000 1